Material: Ge2BiSe3
Method: DFT, PBE
State: optimized geometry

```
Ge2BiSe3
1.0
8.238 0.000 0.000
0.000 3.823 0.000
-1.934 0.000 13.696
Ge Bi Se
4 2 6
Direct
0.119 0.250 0.457
0.346 0.750 0.923
0.654 0.250 0.077
0.881 0.750 0.543
0.315 0.250 0.649
0.685 0.750 0.351
0.119 0.750 0.716
0.307 0.750 0.431
0.463 0.750 0.116
0.537 0.250 0.884
0.693 0.250 0.569
0.881 0.250 0.284
```

- VASP energy: -4.06 eV/atom
- Uncorrected formation energy: -0.13 eV per atom